[1]
Compound: K2BiPt2
Source: the Alexandria database
Functional: PBE
Structure: optimized geometry

Calculated values
- ΔH_f (0 K) (meV/atom) = 375

```
data_K2BiPt2
_symmetry_space_group_name_H-M 'I 4/m m m'
_symmetry_Int_Tables_number 139
_symmetry_space_group_name_Hall '-I 4 2'
_cell_length_a 4.167
_cell_length_b 4.167
_cell_length_c 14.897
_cell_angle_alpha 90.00
_cell_angle_beta 90.00
_cell_angle_gamma 90.00
loop_
_atom_site_label
_atom_site_type_symbol
_atom_site_fract_x
_atom_site_fract_y
_atom_site_fract_z
_atom_site_occupancy
K1 K 0.000 0.500 0.250 1
Bi1 Bi 0.000 0.000 0.000 1
Pt1 Pt 0.000 0.000 0.411 1
```



[2]
Compound: ScCr4Ni
Source: the Alexandria database
Functional: PBE
Structure: optimized geometry

Calculated values
- ΔH_f (0 K) (meV/atom) = 229

```
data_ScCr4Ni
_symmetry_space_group_name_H-M 'F -4 3 m'
_symmetry_Int_Tables_number 216
_symmetry_space_group_name_Hall 'F -4 2 3'
_cell_length_a 6.840
_cell_length_b 6.840
_cell_length_c 6.840
_cell_angle_alpha 90.00
_cell_angle_beta 90.00
_cell_angle_gamma 90.00
loop_
_atom_site_label
_atom_site_type_symbol
_atom_site_fract_x
_atom_site_fract_y
_atom_site_fract_z
_atom_site_occupancy
Sc1 Sc 0.000 0.000 0.000 1
Cr1 Cr 0.126 0.126 0.626 1
Ni1 Ni 0.250 0.250 0.250 1
```



[3]
Compound: Co3Ni7Ir
Source: the Alexandria database
Functional: PBE
Structure: optimized geometry

Calculated values
- ΔH_f (0 K) (meV/atom) = 123

```
data_Co3Ni7Ir
_symmetry_space_group_name_H-M 'C 1 m 1'
_symmetry_Int_Tables_number 8
_symmetry_space_group_name_Hall 'C -2y'
_cell_length_a 4.900
_cell_length_b 7.635
_cell_length_c 6.903
_cell_angle_alpha 90.00
_cell_angle_beta 93.81
_cell_angle_gamma 90.00
loop_
_atom_site_label
_atom_site_type_symbol
_atom_site_fract_x
_atom_site_fract_y
_atom_site_fract_z
_atom_site_occupancy
Co1 Co 0.000 0.000 0.000 1
Co2 Co 0.032 0.218 0.429 1
Ni1 Ni 0.172 0.500 0.290 1
Ni2 Ni 0.182 0.225 0.771 1
Ni3 Ni 0.286 0.232 0.128 1
Ni4 Ni 0.357 0.500 0.642 1
Ni5 Ni 0.364 0.000 0.559 1
Ir1 Ir 0.005 0.500 0.928 1
```



[4]
Compound: Na4DyHo3S8
Source: the Alexandria database
Functional: PBE
Structure: optimized geometry

Calculated values
- formation energy without anion corrections (eV/atom) = -1.85

```
data_Na4DyHo3S8
_symmetry_space_group_name_H-M 'R -3 m'
_symmetry_Int_Tables_number 166
_symmetry_space_group_name_Hall '-R 3 2"'
_cell_length_a 7.9420
_cell_length_b 7.9420
_cell_length_c 20.0357
_cell_angle_alpha 90.00
_cell_angle_beta 90.00
_cell_angle_gamma 120.00
loop_
_atom_site_label
_atom_site_type_symbol
_atom_site_fract_x
_atom_site_fract_y
_atom_site_fract_z
_atom_site_occupancy
Na1 Na 0.0000 0.0000 0.0000 1
Na2 Na 0.0000 0.5000 0.0000 1
Dy1 Dy 0.0000 0.0000 0.5000 1
Ho1 Ho 0.0000 0.5000 0.5000 1
S1 S 0.0000 0.0000 0.2419 1
S2 S 0.0009 0.5004 0.7580 1
```